Crystalline MgMnP2O6 at its relaxed geometry, computed with PBE with a Hubbard U.

Cell: 6.1080 6.1080 6.1080 Å, 48.73 48.73 48.73°
Last column: nearest neighbours and their distance in Å.
Atoms (fractional coordinates):
Mg 0.0000 0.0000 0.0000  6 O 2.16
Mn 0.5000 0.5000 0.5000  6 O 2.29
P 0.2304 0.2304 0.2304  3 O 1.56
P 0.7696 0.7696 0.7696  3 O 1.56
O 0.0422 0.4449 0.7441  1 P 1.56
O 0.2559 0.9578 0.5551  1 P 1.56
O 0.4449 0.7441 0.0422  1 P 1.56
O 0.5551 0.2559 0.9578  1 P 1.56
O 0.7441 0.0422 0.4449  1 P 1.56
O 0.9578 0.5551 0.2559  1 P 1.56

* space-group type: R-3, No. 148
* Fermi-level density of states: 0.59 states/eV per cell
* total energy: -6.86 eV/atom